No. 1
Mn2Cu2Pd: optimized geometry, PBE. Values from VASP.

The structure in Quantum ESPRESSO input format:
```
&SYSTEM
  ibrav = 0, nat = 10, ntyp = 3
/
ATOMIC_SPECIES
Mn 54.94 Mn.upf
Cu 63.55 Cu.upf
Pd 106.42 Pd.upf
CELL_PARAMETERS angstrom
6.923 0.000 0.000
0.000 6.923 0.000
0.000 0.000 2.892
ATOMIC_POSITIONS crystal
Mn 0.173 0.327 0.000
Mn 0.327 0.827 0.000
Mn 0.673 0.173 0.000
Mn 0.827 0.673 0.000
Cu 0.125 0.625 0.500
Cu 0.375 0.125 0.500
Cu 0.625 0.875 0.500
Cu 0.875 0.375 0.500
Pd 0.000 0.000 0.500
Pd 0.500 0.500 0.500
```


No. 2
Li6Ag3Pt: optimized geometry, PBE. Values from VASP.

The structure in Quantum ESPRESSO input format:
```
&SYSTEM
  ibrav = 0, nat = 20, ntyp = 3
/
ATOMIC_SPECIES
Li 6.94 Li.upf
Ag 107.87 Ag.upf
Pt 195.08 Pt.upf
CELL_PARAMETERS angstrom
4.774 0.000 0.000
0.000 7.618 0.000
-4.756 0.000 9.324
ATOMIC_POSITIONS crystal
Li 0.010 0.175 0.045
Li 0.010 0.325 0.545
Li 0.390 0.599 0.242
Li 0.390 0.901 0.742
Li 0.418 0.158 0.459
Li 0.418 0.342 0.959
Li 0.582 0.658 0.041
Li 0.582 0.842 0.541
Li 0.610 0.099 0.258
Li 0.610 0.401 0.758
Li 0.990 0.675 0.455
Li 0.990 0.825 0.955
Ag 0.069 0.601 0.752
Ag 0.069 0.899 0.252
Ag 0.500 0.000 0.000
Ag 0.500 0.500 0.500
Ag 0.931 0.101 0.748
Ag 0.931 0.399 0.248
Pt 0.000 0.000 0.500
Pt 0.000 0.500 0.000
```


| no. | formation energy from the elements (eV/atom) | magnetic moment (μB/cell) |
| --- | --- | --- |
| 1 | 0.095 | 15.8 |
| 2 | -0.188 | 0.0 |